Record 1
{"formula": "SmCd6Au2", "functional": "GGA-PBE", "state": "optimized geometry", "cell": [[7.507, -4.257, 0.000], [7.507, 4.257, 0.000], [-0.695, 0.000, 3.183]], "species": ["Sm", "Cd", "Cd", "Cd", "Cd", "Cd", "Cd", "Au", "Au"], "fractional_positions": [[0.000, 0.000, 0.000], [0.002, 0.351, 0.676], [0.333, 0.667, 0.500], [0.351, 0.002, 0.676], [0.649, 0.998, 0.324], [0.667, 0.333, 0.500], [0.998, 0.649, 0.324], [0.354, 0.354, 0.858], [0.646, 0.646, 0.142]], "space_group": "C2/m (12)", "m_tot_mub_per_cell": 0.0, "volume_a3_per_atom": 22.61, "energy_ev_per_cell": -17.950, "formation_energy_ev_per_atom": -0.13, "e_above_lowest_polymorph_mev_per_atom": 124.6}



Record 2
{"formula": "SmCd6Au2", "functional": "GGA-PBE", "state": "optimized geometry", "cell": [[4.245, 0.000, 0.000], [0.000, 4.245, 0.000], [0.000, 0.000, 11.392]], "species": ["Sm", "Cd", "Cd", "Cd", "Cd", "Cd", "Cd", "Au", "Au"], "fractional_positions": [[0.000, 0.000, 0.000], [0.000, 0.000, 0.500], [0.000, 0.500, 0.287], [0.000, 0.500, 0.713], [0.500, 0.000, 0.287], [0.500, 0.000, 0.713], [0.500, 0.500, 0.500], [0.500, 0.500, 0.118], [0.500, 0.500, 0.882]], "space_group": "P4/mmm (123)", "m_tot_mub_per_cell": 0.0, "volume_a3_per_atom": 22.81, "energy_ev_per_cell": -19.071, "formation_energy_ev_per_atom": -0.26, "e_above_lowest_polymorph_mev_per_atom": 0.0}



Record 3
{"formula": "SmCd3Au3", "functional": "GGA-PBE", "state": "optimized geometry", "cell": [[7.483, 0.000, 0.000], [0.000, 7.483, 0.000], [0.000, 0.000, 7.483]], "species": ["Sm", "Sm", "Cd", "Cd", "Cd", "Cd", "Cd", "Cd", "Au", "Au", "Au", "Au", "Au", "Au"], "fractional_positions": [[0.000, 0.000, 0.000], [0.500, 0.500, 0.500], [0.000, 0.250, 0.500], [0.000, 0.750, 0.500], [0.250, 0.500, 0.000], [0.500, 0.000, 0.250], [0.500, 0.000, 0.750], [0.750, 0.500, 0.000], [0.000, 0.500, 0.250], [0.000, 0.500, 0.750], [0.250, 0.000, 0.500], [0.500, 0.250, 0.000], [0.500, 0.750, 0.000], [0.750, 0.000, 0.500]], "space_group": "Pm-3n (223)", "m_tot_mub_per_cell": 0.0, "volume_a3_per_atom": 29.93, "energy_ev_per_cell": -31.440, "formation_energy_ev_per_atom": 0.23, "e_above_lowest_polymorph_mev_per_atom": 628.5}



Record 4
{"formula": "Sm6Cd3Au", "functional": "GGA-PBE", "state": "optimized geometry", "cell": [[9.301, 0.000, 0.000], [0.000, 5.388, 0.000], [-3.983, 0.000, 11.242]], "species": ["Sm", "Sm", "Sm", "Sm", "Sm", "Sm", "Sm", "Sm", "Sm", "Sm", "Sm", "Sm", "Cd", "Cd", "Cd", "Cd", "Cd", "Cd", "Au", "Au"], "fractional_positions": [[0.034, 0.250, 0.414], [0.165, 0.750, 0.169], [0.254, 0.250, 0.001], [0.356, 0.750, 0.821], [0.365, 0.250, 0.347], [0.404, 0.250, 0.636], [0.596, 0.750, 0.364], [0.635, 0.750, 0.653], [0.644, 0.250, 0.179], [0.746, 0.750, 0.999], [0.835, 0.250, 0.831], [0.966, 0.750, 0.586], [0.025, 0.750, 0.871], [0.103, 0.250, 0.716], [0.270, 0.750, 0.475], [0.730, 0.250, 0.525], [0.897, 0.750, 0.284], [0.975, 0.250, 0.129], [0.447, 0.750, 0.096], [0.553, 0.250, 0.904]], "space_group": "P2_1/m (11)", "m_tot_mub_per_cell": 0.0, "volume_a3_per_atom": 28.17, "energy_ev_per_cell": -74.971, "formation_energy_ev_per_atom": -0.31}



Record 5
{"formula": "SmCdAu6", "functional": "GGA-PBE", "state": "optimized geometry", "cell": [[5.458, 0.000, 0.000], [0.000, 5.458, 0.000], [0.000, 0.000, 5.458]], "species": ["Sm", "Cd", "Au", "Au", "Au", "Au", "Au", "Au"], "fractional_positions": [[0.000, 0.000, 0.000], [0.500, 0.500, 0.500], [0.000, 0.252, 0.500], [0.000, 0.748, 0.500], [0.252, 0.500, 0.000], [0.500, 0.000, 0.252], [0.500, 0.000, 0.748], [0.748, 0.500, 0.000]], "space_group": "Pm-3 (200)", "m_tot_mub_per_cell": 0.0, "volume_a3_per_atom": 20.32, "energy_ev_per_cell": -28.043, "formation_energy_ev_per_atom": -0.34}



Record 6
{"formula": "SmCdAu2", "functional": "GGA-PBE", "state": "optimized geometry", "cell": [[0.000, 3.537, 3.537], [3.537, 0.000, 3.537], [3.537, 3.537, 0.000]], "species": ["Sm", "Cd", "Au", "Au"], "fractional_positions": [[0.000, 0.000, 0.000], [0.500, 0.500, 0.500], [0.250, 0.250, 0.250], [0.750, 0.750, 0.750]], "space_group": "Fm-3m (225)", "m_tot_mub_per_cell": 0.0, "volume_a3_per_atom": 22.12, "energy_ev_per_cell": -14.780, "formation_energy_ev_per_atom": -0.65}



Record 7
{"formula": "Sm2CdAu2", "functional": "GGA-PBE", "state": "optimized geometry", "cell": [[8.054, 0.000, 0.000], [0.000, 8.054, 0.000], [0.000, 0.000, 3.849]], "species": ["Sm", "Sm", "Sm", "Sm", "Cd", "Cd", "Au", "Au", "Au", "Au"], "fractional_positions": [[0.170, 0.330, 0.000], [0.330, 0.830, 0.000], [0.670, 0.170, 0.000], [0.830, 0.670, 0.000], [0.000, 0.000, 0.500], [0.500, 0.500, 0.500], [0.129, 0.629, 0.500], [0.371, 0.129, 0.500], [0.629, 0.871, 0.500], [0.871, 0.371, 0.500]], "space_group": "P4/mbm (127)", "m_tot_mub_per_cell": 0.0, "volume_a3_per_atom": 24.97, "energy_ev_per_cell": -41.097, "formation_energy_ev_per_atom": -0.73}



Record 8
{"formula": "SrSmCdAu", "functional": "GGA-PBE", "state": "optimized geometry", "cell": [[0.000, 3.822, 3.822], [3.822, 0.000, 3.822], [3.822, 3.822, 0.000]], "species": ["Sr", "Sm", "Cd", "Au"], "fractional_positions": [[0.000, 0.000, 0.000], [0.500, 0.500, 0.500], [0.250, 0.250, 0.250], [0.750, 0.750, 0.750]], "space_group": "F-43m (216)", "m_tot_mub_per_cell": 0.0, "volume_a3_per_atom": 27.92, "energy_ev_per_cell": -12.482, "formation_energy_ev_per_atom": -0.47}



Record 9
{"formula": "Sr2SmCd12Au3", "functional": "GGA-PBE", "state": "optimized geometry", "cell": [[4.127, 2.383, 9.165], [-4.127, 2.383, 9.165], [0.000, -4.766, 9.165]], "species": ["Sr", "Sr", "Sm", "Cd", "Cd", "Cd", "Cd", "Cd", "Cd", "Cd", "Cd", "Cd", "Cd", "Cd", "Cd", "Au", "Au", "Au"], "fractional_positions": [[0.123, 0.123, 0.123], [0.877, 0.877, 0.877], [0.500, 0.500, 0.500], [0.015, 0.652, 0.652], [0.260, 0.260, 0.662], [0.260, 0.662, 0.260], [0.338, 0.740, 0.740], [0.348, 0.348, 0.985], [0.348, 0.985, 0.348], [0.652, 0.015, 0.652], [0.652, 0.652, 0.015], [0.662, 0.260, 0.260], [0.740, 0.338, 0.740], [0.740, 0.740, 0.338], [0.985, 0.348, 0.348], [0.000, 0.500, 0.500], [0.500, 0.000, 0.500], [0.500, 0.500, 0.000]], "space_group": "R-3m (166)", "m_tot_mub_per_cell": 0.0, "volume_a3_per_atom": 30.04, "energy_ev_per_cell": -29.399, "formation_energy_ev_per_atom": -0.03}



Record 10
{"formula": "Sm2TmCdAu4", "functional": "GGA-PBE", "state": "optimized geometry", "cell": [[2.522, 1.456, 8.381], [-2.522, 1.456, 8.381], [0.000, -2.912, 8.381]], "species": ["Sm", "Sm", "Tm", "Cd", "Au", "Au", "Au", "Au"], "fractional_positions": [[0.243, 0.243, 0.243], [0.757, 0.757, 0.757], [0.000, 0.000, 0.000], [0.500, 0.500, 0.500], [0.119, 0.119, 0.119], [0.365, 0.365, 0.365], [0.635, 0.635, 0.635], [0.881, 0.881, 0.881]], "space_group": "R-3m (166)", "m_tot_mub_per_cell": 0.0, "volume_a3_per_atom": 23.09, "energy_ev_per_cell": -34.133, "formation_energy_ev_per_atom": -0.77}



Record 11
{"formula": "SmTmCdAu", "functional": "GGA-PBE", "state": "optimized geometry", "cell": [[0.000, 3.681, 3.681], [3.681, 0.000, 3.681], [3.681, 3.681, 0.000]], "species": ["Sm", "Tm", "Cd", "Au"], "fractional_positions": [[0.000, 0.000, 0.000], [0.500, 0.500, 0.500], [0.250, 0.250, 0.250], [0.750, 0.750, 0.750]], "space_group": "F-43m (216)", "m_tot_mub_per_cell": 0.0, "volume_a3_per_atom": 24.94, "energy_ev_per_cell": -15.555, "formation_energy_ev_per_atom": -0.54, "e_above_lowest_polymorph_mev_per_atom": 34.9}



Record 12
{"formula": "SmTmCdAu", "functional": "GGA-PBE", "state": "optimized geometry", "cell": [[3.677, 0.000, 0.000], [0.000, 3.677, 0.000], [0.000, 0.000, 7.380]], "species": ["Sm", "Tm", "Cd", "Au"], "fractional_positions": [[0.000, 0.000, 0.000], [0.000, 0.000, 0.527], [0.500, 0.500, 0.275], [0.500, 0.500, 0.738]], "space_group": "P4mm (99)", "m_tot_mub_per_cell": 0.1, "volume_a3_per_atom": 24.94, "energy_ev_per_cell": -15.694, "formation_energy_ev_per_atom": -0.58, "e_above_lowest_polymorph_mev_per_atom": 0.0}